(1)
ZrBeRh2 | PBEsol | optimized geometry

The structure in POSCAR format:
```
ZrBeRh2
1.0
-3.863 1.955 -0.267
-3.605 -2.168 1.058
-2.166 1.027 3.615
Rh Zr Be
2 1 1
Direct
0.750 0.750 0.750
0.000 0.000 0.000
0.250 0.250 0.250
0.500 0.500 0.500
```

Output
* theoretical density: 8805 kg/m³
* ΔE_f: -0.1892 eV per atom
* electronic total energy: -7.531 eV per atom

***

(2)
Zr2BeRh | PBEsol | optimized geometry

The structure in POSCAR format:
```
Zr2BeRh
1.0
-1.794 0.884 3.997
2.393 -0.655 3.718
1.445 3.501 2.373
Zr Rh Be
2 1 1
Direct
0.250 0.250 0.250
0.000 0.000 0.000
0.750 0.750 0.750
0.500 0.500 0.500
```

Output
* theoretical density: 7742 kg/m³
* ΔE_f: -0.1453 eV per atom
* electronic total energy: -7.725 eV per atom

***

(3)
Zr2BeRh | PBEsol | optimized geometry

The structure in POSCAR format:
```
Zr2BeRh
1.0
3.253 0.000 0.000
0.000 3.253 0.000
0.000 0.000 6.186
Be Rh Zr
1 1 2
Direct
0.500 0.500 0.000
0.500 0.500 0.500
0.000 0.000 0.756
0.000 0.000 0.244
```

Output
* theoretical density: 7469 kg/m³
* ΔE_f: -0.4138 eV per atom
* electronic total energy: -7.993 eV per atom

***

(4)
Be3Ru5 | PBEsol | optimized geometry

The structure in POSCAR format:
```
Be3Ru5
1.0
-3.049 -3.337 0.817
1.185 -5.222 -3.988
2.301 -4.105 4.736
Be Ru
6 10
Direct
0.750 0.000 0.000
0.329 0.843 0.500
0.671 0.157 0.500
0.829 0.500 0.843
0.171 0.500 0.157
0.250 0.000 0.000
0.277 0.148 0.297
0.250 0.500 0.500
0.723 0.852 0.703
0.925 0.852 0.297
0.575 0.703 0.148
0.777 0.297 0.148
0.425 0.297 0.852
0.750 0.500 0.500
0.075 0.148 0.703
0.223 0.703 0.852
```

Output
* theoretical density: 9796 kg/m³
* ΔE_f: -0.0966 eV per atom
* electronic total energy: -7.954 eV per atom

***

(5)
BeRu3 | PBEsol | optimized geometry

The structure in POSCAR format:
```
BeRu3
1.0
-2.617 0.418 -0.455
-0.908 -1.791 3.575
0.278 4.000 2.075
Ru Be
3 1
Direct
0.500 0.000 0.525
0.000 0.500 0.310
0.500 0.500 0.838
0.000 0.000 0.994
```

Output
* theoretical density: 10416 kg/m³
* ΔE_f: 0.0957 eV per atom
* electronic total energy: -8.534 eV per atom
* E above lowest polymorph: 0.155 eV/atom

***

(6)
BeRu3 | PBEsol | optimized geometry

The structure in POSCAR format:
```
BeRu3
1.0
-2.130 1.493 0.536
0.501 -0.625 3.732
3.721 3.301 0.053
Ru Be
3 1
Direct
0.000 0.000 0.500
0.616 0.500 0.768
0.384 0.500 0.232
0.000 0.000 0.000
```

Output
* theoretical density: 10550 kg/m³
* ΔE_f: 0.0711 eV per atom
* electronic total energy: -8.558 eV per atom
* E above lowest polymorph: 0.130 eV/atom

***

(7)
Be4Ru | PBEsol | optimized geometry

The structure in POSCAR format:
```
Be4Ru
1.0
4.388 0.000 0.000
-1.463 4.137 0.000
-1.463 -2.069 3.583
Be Ru
4 1
Direct
0.500 0.500 0.500
0.000 0.000 0.500
0.000 0.500 0.000
0.500 0.000 0.000
0.000 0.000 0.000
```

Output
* theoretical density: 3500 kg/m³
* ΔE_f: 0.5471 eV per atom
* electronic total energy: -4.687 eV per atom
* E above lowest polymorph: 0.540 eV/atom

***

(8)
BeRu3 | PBEsol | optimized geometry

The structure in POSCAR format:
```
BeRu3
1.0
2.655 0.000 0.000
1.328 2.299 0.000
1.328 0.766 8.067
Ru Be
3 1
Direct
0.500 0.500 0.500
0.745 0.745 0.765
0.255 0.255 0.235
0.000 0.000 0.000
```

Output
* theoretical density: 10527 kg/m³
* ΔE_f: 0.0889 eV per atom
* electronic total energy: -8.540 eV per atom
* E above lowest polymorph: 0.148 eV/atom

***

(9)
Be24Ru5 | PBEsol | optimized geometry

The structure in POSCAR format:
```
Be24Ru5
1.0
-5.995 -3.148 -1.504
0.657 0.554 6.883
0.068 6.325 -2.846
Ru Be
5 24
Direct
0.610 0.610 0.610
0.000 0.000 0.390
0.000 0.390 0.000
0.000 0.000 0.000
0.390 0.000 0.000
0.298 0.680 0.680
0.814 0.634 0.000
0.634 0.000 0.814
0.000 0.618 0.320
0.366 0.180 0.366
0.814 0.000 0.634
0.618 0.000 0.320
0.320 0.618 0.000
0.180 0.366 0.366
0.000 0.634 0.814
0.680 0.298 0.680
0.634 0.814 0.000
0.680 0.680 0.298
0.186 0.186 0.820
0.382 0.382 0.702
0.366 0.366 0.180
0.320 0.000 0.618
0.000 0.814 0.634
0.618 0.320 0.000
0.702 0.382 0.382
0.186 0.820 0.186
0.382 0.702 0.382
0.820 0.186 0.186
0.000 0.320 0.618
```

Output
* theoretical density: 4664 kg/m³
* ΔE_f: -0.2331 eV per atom
* electronic total energy: -5.297 eV per atom

***

(10)
Be4Ru | PBEsol | optimized geometry

The structure in POSCAR format:
```
Be4Ru
1.0
3.008 0.000 0.000
0.000 3.008 0.000
-1.504 -1.504 4.984
Ru Be
1 4
Direct
0.000 0.000 0.000
0.250 0.750 0.500
0.401 0.401 0.803
0.599 0.599 0.197
0.750 0.250 0.500
```

Output
* theoretical density: 5049 kg/m³
* ΔE_f: 0.0072 eV per atom
* electronic total energy: -5.227 eV per atom
* E above lowest polymorph: 0.000 eV/atom

***

(11)
BeRu3 | PBEsol | optimized geometry

The structure in POSCAR format:
```
BeRu3
1.0
2.733 0.000 0.000
0.000 2.733 0.000
0.000 0.000 6.369
Ru Be
3 1
Direct
0.500 0.500 0.782
0.000 0.000 0.500
0.500 0.500 0.218
0.000 0.000 0.000
```

Output
* theoretical density: 10898 kg/m³
* ΔE_f: -0.0592 eV per atom
* electronic total energy: -8.689 eV per atom
* E above lowest polymorph: 0.000 eV/atom

***

(12)
BeSbRu | PBEsol | optimized geometry

The structure in POSCAR format:
```
BeSbRu
1.0
3.037 0.000 0.000
-1.519 2.630 0.000
0.000 0.000 5.829
Ru Sb Be
1 1 1
Direct
0.333 0.667 0.693
0.667 0.333 0.346
0.000 0.000 0.961
```

Output
* theoretical density: 8268 kg/m³
* uncorrected formation energy: 303 meV/atom
* electronic total energy: -5.940 eV per atom
* E above lowest polymorph: 0.146 eV/atom

***

(13)
BeSbRu2 | PBEsol | optimized geometry

The structure in POSCAR format:
```
BeSbRu2
1.0
-3.024 0.027 -0.314
0.096 -2.807 -1.164
-0.580 -2.253 5.387
Be Ru Sb
1 2 1
Direct
0.500 0.500 0.500
0.000 0.000 0.729
0.000 0.000 0.271
0.500 0.500 0.000
```

Output
* theoretical density: 10190 kg/m³
* uncorrected formation energy: -5 meV/atom
* electronic total energy: -7.231 eV per atom
* E above lowest polymorph: 0.128 eV/atom

***

(14)
BeSbRu2 | PBEsol | optimized geometry

The structure in POSCAR format:
```
BeSbRu2
1.0
-1.407 2.530 0.730
0.037 -1.175 4.146
3.907 2.013 0.535
Ru Be Sb
2 1 1
Direct
0.626 0.500 0.200
0.125 0.000 0.007
0.125 0.500 0.762
0.625 0.000 0.531
```

Output
* theoretical density: 9704 kg/m³
* uncorrected formation energy: 143 meV/atom
* electronic total energy: -7.082 eV per atom
* E above lowest polymorph: 0.276 eV/atom

***

(15)
BeSbRu2 | PBEsol | optimized geometry

The structure in POSCAR format:
```
BeSbRu2
1.0
-3.967 1.513 -0.139
-3.265 -2.651 -0.600
-2.694 -0.807 3.184
Ru Be Sb
2 1 1
Direct
0.250 0.250 0.250
0.750 0.750 0.750
0.000 0.000 0.000
0.500 0.500 0.500
```

Output
* theoretical density: 10200 kg/m³
* uncorrected formation energy: -133 meV/atom
* electronic total energy: -7.359 eV per atom
* E above lowest polymorph: 0.000 eV/atom

***

(16)
BeSbRu | PBEsol | optimized geometry

The structure in POSCAR format:
```
BeSbRu
1.0
4.145 0.000 0.000
2.072 3.589 0.000
2.072 1.196 3.384
Be Ru Sb
1 1 1
Direct
0.500 0.500 0.500
0.750 0.750 0.750
0.000 0.000 0.000
```

Output
* theoretical density: 7647 kg/m³
* uncorrected formation energy: 157 meV/atom
* electronic total energy: -6.087 eV per atom
* E above lowest polymorph: 0.000 eV/atom

***

(17)
ScBe2Ru | PBEsol | optimized geometry

The structure in POSCAR format:
```
ScBe2Ru
1.0
-1.470 1.886 -1.828
-2.534 -1.570 0.417
-1.263 3.179 4.294
Sc Ru Be
1 1 2
Direct
0.500 0.500 0.500
0.500 0.500 0.000
0.000 0.000 0.191
0.000 0.000 0.809
```

Output
* theoretical density: 5478 kg/m³
* ΔE_f: -0.2997 eV per atom
* electronic total energy: -6.494 eV per atom
* E above lowest polymorph: 0.000 eV/atom

***

(18)
ScBeRu | PBEsol | optimized geometry

The structure in POSCAR format:
```
ScBeRu
1.0
3.096 0.000 0.000
0.000 3.096 0.000
-1.548 -1.548 4.367
Sc Be Ru
1 1 1
Direct
0.670 0.670 0.340
0.965 0.965 0.930
0.365 0.365 0.731
```

Output
* theoretical density: 6150 kg/m³
* ΔE_f: -0.3520 eV per atom
* electronic total energy: -7.278 eV per atom

***

(19)
Sc2BeRu | PBEsol | optimized geometry

The structure in POSCAR format:
```
Sc2BeRu
1.0
-2.341 -1.779 0.667
-1.541 -1.356 -2.209
4.487 -8.459 0.001
Sc Be Ru
2 1 1
Direct
0.097 0.097 0.709
0.903 0.903 0.291
0.000 0.000 0.000
0.500 0.500 0.500
```

Output
* theoretical density: 4479 kg/m³
* ΔE_f: 0.4428 eV per atom
* electronic total energy: -6.403 eV per atom

***

(20)
Sc3BeRu | PBEsol | optimized geometry

The structure in POSCAR format:
```
Sc3BeRu
1.0
4.874 0.000 0.000
0.000 4.874 0.000
0.000 0.000 4.874
Ru Sc Be
1 3 1
Direct
0.000 0.000 0.000
0.000 0.000 0.500
0.000 0.500 0.000
0.500 0.000 0.000
0.500 0.500 0.500
```

Output
* theoretical density: 3512 kg/m³
* ΔE_f: 0.3544 eV per atom
* electronic total energy: -6.443 eV per atom

***

(21)
Sc2BeRu | PBEsol | optimized geometry

The structure in POSCAR format:
```
Sc2BeRu
1.0
-1.734 -0.892 -2.605
3.720 -0.998 -2.134
-0.213 -4.115 1.552
Ru Sc Be
1 2 1
Direct
0.500 0.000 0.000
0.000 0.000 0.500
0.000 0.500 0.000
0.500 0.500 0.500
```

Output
* theoretical density: 5264 kg/m³
* ΔE_f: -0.3009 eV per atom
* electronic total energy: -7.147 eV per atom

***

(22)
ScBe4Ru | PBEsol | optimized geometry

The structure in POSCAR format:
```
ScBe4Ru
1.0
-1.936 2.467 3.196
-3.770 -1.423 1.951
0.070 -1.394 4.254
Sc Be Ru
1 4 1
Direct
0.000 0.000 0.000
0.377 0.377 0.869
0.377 0.377 0.377
0.377 0.869 0.377
0.869 0.377 0.377
0.750 0.750 0.750
```

Output
* theoretical density: 4764 kg/m³
* ΔE_f: -0.3518 eV per atom
* electronic total energy: -5.815 eV per atom

***

(23)
ScBe2Ru | PBEsol | optimized geometry

The structure in POSCAR format:
```
ScBe2Ru
1.0
-1.100 2.920 -0.905
0.351 -2.701 -3.308
-3.736 -0.753 2.111
Sc Ru Be
1 1 2
Direct
0.000 0.000 0.500
0.500 0.000 0.000
0.227 0.454 0.142
0.773 0.546 0.858
```

Output
* theoretical density: 5206 kg/m³
* ΔE_f: -0.2424 eV per atom
* electronic total energy: -6.437 eV per atom
* E above lowest polymorph: 0.057 eV/atom

***

(24)
ScBe2Ru | PBEsol | optimized geometry

The structure in POSCAR format:
```
ScBe2Ru
1.0
3.761 0.000 0.000
0.000 3.761 0.000
-1.881 -1.881 3.467
Sc Be Ru
1 2 1
Direct
0.500 0.500 0.000
0.750 0.250 0.500
0.250 0.750 0.500
0.000 0.000 0.000
```

Output
* theoretical density: 5555 kg/m³
* ΔE_f: -0.2610 eV per atom
* electronic total energy: -6.455 eV per atom
* E above lowest polymorph: 0.039 eV/atom

***

(25)
ScBe2Ru2 | PBEsol | optimized geometry

The structure in POSCAR format:
```
ScBe2Ru2
1.0
-1.364 -1.944 1.916
1.732 -4.805 -3.643
5.338 -0.541 3.251
Be Ru Sc
4 4 2
Direct
0.000 0.616 0.116
0.000 0.116 0.384
0.000 0.384 0.884
0.000 0.884 0.616
0.500 0.171 0.671
0.500 0.829 0.329
0.500 0.329 0.171
0.500 0.671 0.829
0.000 0.500 0.500
0.000 0.000 0.000
```

Output
* theoretical density: 7330 kg/m³
* ΔE_f: -0.4102 eV per atom
* electronic total energy: -7.400 eV per atom

***

(26)
BeRu2Se | PBEsol | optimized geometry

The structure in POSCAR format:
```
BeRu2Se
1.0
2.733 -0.005 0.000
-1.244 2.433 0.000
0.000 0.000 8.232
Ru Se Be
2 1 1
Direct
0.500 0.500 0.755
0.000 0.000 0.019
0.000 0.000 0.496
0.500 0.500 0.230
```

Output
* theoretical density: 8809 kg/m³
* uncorrected formation energy: 498 meV/atom
* electronic total energy: -6.551 eV per atom
* E above lowest polymorph: 0.376 eV/atom

***

(27)
BeRu2Se | PBEsol | optimized geometry

The structure in POSCAR format:
```
BeRu2Se
1.0
-0.036 -0.739 -2.741
-0.832 -3.647 0.995
-4.918 1.445 1.184
Ru Se Be
2 1 1
Direct
0.622 0.000 0.788
0.378 0.000 0.212
0.500 0.500 0.500
0.000 0.500 0.000
```

Output
* theoretical density: 8672 kg/m³
* uncorrected formation energy: 267 meV/atom
* electronic total energy: -6.782 eV per atom
* E above lowest polymorph: 0.146 eV/atom

***

(28)
BeRu2Se | PBEsol | optimized geometry

The structure in POSCAR format:
```
BeRu2Se
1.0
-0.036 -2.465 -1.457
1.534 -0.592 3.778
-4.664 -0.411 0.811
Be Ru Se
1 2 1
Direct
0.500 0.000 0.000
0.243 0.486 0.236
0.757 0.514 0.764
0.000 0.000 0.500
```

Output
* theoretical density: 9372 kg/m³
* uncorrected formation energy: 121 meV/atom
* electronic total energy: -6.928 eV per atom
* E above lowest polymorph: 0.000 eV/atom